Computed, not measured: a geometry-optimized AlH11SO10 structure at the GGA-PBEsol level of DFT.

Summary:
Total moment ... 0.00 μB per atom
Total DFT energy (no corrections) ... -5.61 eV per atom

abc: 8.097 8.251 12.465
angles: 90.00 90.00 101.05
Fractional coordinates of all 92 atoms:
Al (0.345, 0.381, 0.988)
Al (0.845, 0.881, 0.512)
Al (0.655, 0.619, 0.012)
Al (0.155, 0.119, 0.488)
H (0.466, 0.485, 0.167)
H (0.966, 0.985, 0.333)
H (0.534, 0.515, 0.833)
H (0.034, 0.015, 0.667)
H (0.083, 0.251, 0.099)
H (0.583, 0.751, 0.401)
H (0.917, 0.749, 0.901)
H (0.417, 0.249, 0.599)
H (0.234, 0.145, 0.122)
H (0.734, 0.645, 0.378)
H (0.766, 0.855, 0.878)
H (0.266, 0.355, 0.622)
H (0.204, 0.380, 0.803)
H (0.704, 0.880, 0.697)
H (0.796, 0.620, 0.197)
H (0.296, 0.120, 0.303)
H (0.176, 0.188, 0.847)
H (0.676, 0.688, 0.653)
H (0.824, 0.812, 0.153)
H (0.324, 0.312, 0.347)
H (0.169, 0.611, 0.963)
H (0.669, 0.111, 0.537)
H (0.831, 0.389, 0.037)
H (0.331, 0.889, 0.463)
H (0.218, 0.600, 0.090)
H (0.718, 0.100, 0.410)
H (0.782, 0.400, 0.910)
H (0.282, 0.900, 0.590)
H (0.419, 0.101, 0.929)
H (0.919, 0.601, 0.571)
H (0.581, 0.899, 0.071)
H (0.081, 0.399, 0.429)
H (0.541, 0.181, 0.027)
H (0.041, 0.681, 0.473)
H (0.459, 0.819, 0.973)
H (0.959, 0.319, 0.527)
H (0.225, 0.597, 0.701)
H (0.725, 0.097, 0.799)
H (0.775, 0.403, 0.299)
H (0.275, 0.903, 0.201)
H (0.062, 0.455, 0.681)
H (0.562, 0.955, 0.819)
H (0.938, 0.545, 0.319)
H (0.438, 0.045, 0.181)
S (0.715, 0.361, 0.689)
S (0.215, 0.861, 0.811)
S (0.285, 0.639, 0.311)
S (0.785, 0.139, 0.189)
O (0.504, 0.465, 0.094)
O (0.004, 0.965, 0.406)
O (0.496, 0.535, 0.906)
O (0.996, 0.035, 0.594)
O (0.199, 0.236, 0.079)
O (0.699, 0.736, 0.421)
O (0.801, 0.764, 0.921)
O (0.301, 0.264, 0.579)
O (0.212, 0.307, 0.868)
O (0.712, 0.807, 0.632)
O (0.788, 0.693, 0.132)
O (0.288, 0.193, 0.368)
O (0.205, 0.539, 0.020)
O (0.705, 0.039, 0.480)
O (0.795, 0.461, 0.980)
O (0.295, 0.961, 0.520)
O (0.468, 0.207, 0.967)
O (0.968, 0.707, 0.533)
O (0.532, 0.793, 0.033)
O (0.032, 0.293, 0.467)
O (0.766, 0.297, 0.793)
O (0.266, 0.797, 0.707)
O (0.234, 0.703, 0.207)
O (0.734, 0.203, 0.293)
O (0.873, 0.422, 0.624)
O (0.373, 0.922, 0.876)
O (0.127, 0.578, 0.376)
O (0.627, 0.078, 0.124)
O (0.607, 0.227, 0.628)
O (0.107, 0.727, 0.872)
O (0.393, 0.773, 0.372)
O (0.893, 0.273, 0.128)
O (0.627, 0.500, 0.707)
O (0.127, 0.000, 0.793)
O (0.373, 0.500, 0.293)
O (0.873, 0.000, 0.207)
O (0.185, 0.474, 0.698)
O (0.685, 0.974, 0.802)
O (0.815, 0.526, 0.302)
O (0.315, 0.026, 0.198)